# 1
Y3Ga3Ag2 after structural relaxation. Source: Alexandria via LeMat-Bulk, functional PBE-GGA.

- SG: Cmcm
- Calculated formation energy: -0.53 eV/atom

a b c (Å): 4.4428 5.8485 14.6875
angles (deg): 90.00 90.00 112.32
Fractional positions:
Y: 0.9127 0.8254 0.3903
Y: 0.0873 0.1746 0.8903
Y: 0.9127 0.8254 0.1097
Y: 0.0873 0.1746 0.6097
Y: 0.6409 0.2817 0.2500
Y: 0.3591 0.7183 0.7500
Ga: 0.6050 0.2101 0.4590
Ga: 0.3950 0.7899 0.9590
Ga: 0.6050 0.2101 0.0410
Ga: 0.3950 0.7899 0.5410
Ga: 0.3550 0.7101 0.2500
Ga: 0.6450 0.2899 0.7500
Ag: 0.7922 0.5845 0.9021
Ag: 0.2078 0.4155 0.4021
Ag: 0.7922 0.5845 0.5979
Ag: 0.2078 0.4155 0.0979

# 2
Y2Ga8Ag after structural relaxation. Source: Alexandria via LeMat-Bulk, functional PBE-GGA.

- SG: P4/mmm
- Calculated formation energy: -0.36 eV/atom

a b c (Å): 4.3753 4.3753 11.3729
angles (deg): 90.00 90.00 90.00
Fractional positions:
Y: 0.0000 0.0000 0.3138
Y: 0.0000 0.0000 0.6862
Ga: 0.0000 0.5000 0.5000
Ga: 0.5000 0.0000 0.5000
Ga: 0.5000 0.5000 0.3111
Ga: 0.5000 0.5000 0.6889
Ga: 0.0000 0.5000 0.1342
Ga: 0.5000 0.0000 0.1342
Ga: 0.0000 0.5000 0.8658
Ga: 0.5000 0.0000 0.8658
Ag: 0.0000 0.0000 0.0000

# 3
YGa7Ag5 after structural relaxation. Source: Alexandria via LeMat-Bulk, functional PBE-GGA.

- SG: Imm2
- Calculated formation energy: -0.14 eV/atom

a b c (Å): 5.6571 7.1262 7.1262
angles (deg): 84.18 66.61 66.61
Fractional positions:
Y: 0.9982 0.0018 0.0018
Ga: 0.6394 0.3606 0.3606
Ga: 0.3497 0.6503 0.6503
Ga: 0.9971 0.3509 0.6549
Ga: 0.9971 0.6549 0.3509
Ga: 0.2690 0.2310 0.2310
Ga: 0.5044 0.8145 0.1767
Ga: 0.5044 0.1767 0.8145
Ag: 0.5012 0.0054 0.4912
Ag: 0.0021 0.0054 0.4912
Ag: 0.5012 0.4912 0.0054
Ag: 0.0021 0.4912 0.0054
Ag: 0.7340 0.7660 0.7660

no.,energy (eV per atom)
1,-4.8044
2,-3.9962
3,-3.3650